# NaIrI2 (GGA-PBE, relaxed)
# - energy relative to the lowest polymorph listed for this composition (meV/atom) = 412
# - formation energy (no corrections) (eV/f.u.) = 1.876
data_NaIrI2
_cell_length_a 5.224
_cell_length_b 5.224
_cell_length_c 5.224
_cell_angle_alpha 60.00
_cell_angle_beta 60.00
_cell_angle_gamma 60.00
_space_group_name_H-M_alt 'P 1'
_space_group_IT_number 1
_space_group_name_Hall 'P 1'
loop_
_atom_site_label
_atom_site_type_symbol
_atom_site_fract_x
_atom_site_fract_y
_atom_site_fract_z
Na1 Na 0.000 0.000 0.000
Ir1 Ir 0.500 0.500 0.500
I1 I 0.250 0.250 0.250
I2 I 0.750 0.750 0.750

=====

# RbHS4 (GGA-PBE, relaxed)
# - uncorrected energy (eV/atom) = -3.81
data_RbHS4
_cell_length_a 6.454
_cell_length_b 6.777
_cell_length_c 9.443
_cell_angle_alpha 83.25
_cell_angle_beta 84.02
_cell_angle_gamma 68.13
_space_group_name_H-M_alt 'P 1'
_space_group_IT_number 1
_space_group_name_Hall 'P 1'
loop_
_atom_site_label
_atom_site_type_symbol
_atom_site_fract_x
_atom_site_fract_y
_atom_site_fract_z
Rb1 Rb 0.013 0.228 0.188
Rb2 Rb 0.987 0.772 0.812
H1 H 0.241 0.115 0.606
H2 H 0.759 0.885 0.394
S1 S 0.060 0.249 0.816
S2 S 0.270 0.631 0.234
S3 S 0.346 0.982 0.498
S4 S 0.458 0.410 0.102
S5 S 0.542 0.590 0.898
S6 S 0.654 0.018 0.502
S7 S 0.730 0.369 0.766
S8 S 0.940 0.751 0.184